# 1
Below is a relaxed structure of FeReS, with properties calculated at the PBE level.

Unit cell a=3.693 b=3.693 c=9.143 alpha=78.35 beta=78.35 gamma=60.00
Fractional positions:
Fe 0.071 0.071 0.786
Fe 0.929 0.929 0.214
S 0.229 0.229 0.313
Re 0.625 0.625 0.126
Re 0.375 0.375 0.874
S 0.771 0.771 0.687

E_tot in eV/cell: -46.953
Symmetry: R-3m (166)


# 2
Below is a relaxed structure of Fe3ReS, with properties calculated at the PBE level.

Unit cell a=4.531 b=4.531 c=4.531 alpha=90.00 beta=90.00 gamma=90.00
Fractional positions:
Re 0.000 0.000 0.000
Fe 0.500 0.000 0.000
S 0.500 0.500 0.500
Fe 0.000 0.500 0.000
Fe 0.000 0.000 0.500

Symmetry: Pm-3m (221)
Energy above the lowest structure with this stoichiometry in meV/atom: 789